Entry 1:
DFT (PBE) results for a relaxed structure of DyAlZnPt.

abc: 4.684 4.684 4.684
angles: 60.00 60.00 60.00
Sites, in units of the cell vectors:
Dy 0.000 0.000 0.000
Al 0.500 0.500 0.500
Zn 0.250 0.250 0.250
Pt 0.750 0.750 0.750

Calculated values
Total magnetic moment in μB per cell: 0.00
Energy of formation in eV/atom: -0.74
D(E_F) in states/eV/atom: 0.318

---

Entry 2:
DFT (PBE) results for a relaxed structure of SiHCl.

abc: 4.862 5.749 5.774
angles: 95.45 96.55 114.35
Sites, in units of the cell vectors:
Si 0.008 0.075 0.192
Si 0.992 0.925 0.808
H 0.113 0.723 0.783
H 0.887 0.277 0.217
Cl 0.320 0.240 0.677
Cl 0.680 0.760 0.323

Calculated values
Total magnetic moment in μB per cell: 0.00
Calculated total energy in eV per cell: -22.1

---

Entry 3:
DFT (PBE) results for a relaxed structure of TiPb3I.

abc: 5.541 5.541 5.541
angles: 90.00 90.00 90.00
Sites, in units of the cell vectors:
Ti 0.000 0.000 0.000
Pb 0.000 0.000 0.500
Pb 0.000 0.500 0.000
Pb 0.500 0.000 0.000
I 0.500 0.500 0.500

Calculated values
Total magnetic moment in μB per cell: 1.04
D(E_F) in states/eV/atom: 1.435
Energy relative to the elements, uncorrected in eV per formula unit: 0.9

---

Entry 4:
DFT (PBE) results for a relaxed structure of MoBr.

abc: 4.579 4.579 7.274
angles: 98.44 98.44 44.01
Sites, in units of the cell vectors:
Mo 0.156 0.156 0.457
Mo 0.844 0.844 0.543
Br 0.401 0.401 0.233
Br 0.599 0.599 0.767

Calculated values
Total magnetic moment in μB per cell: 0.00
D(E_F) in states/eV/atom: 0.124
Energy relative to the elements, uncorrected in eV per formula unit: 0.8

---

Repeat the third record exactly.
DFT (PBE) results for a relaxed structure of TiPb3I.

abc: 5.541 5.541 5.541
angles: 90.00 90.00 90.00
Sites, in units of the cell vectors:
Ti 0.000 0.000 0.000
Pb 0.000 0.000 0.500
Pb 0.000 0.500 0.000
Pb 0.500 0.000 0.000
I 0.500 0.500 0.500

Calculated values
Total magnetic moment in μB per cell: 1.04
D(E_F) in states/eV/atom: 1.435
Energy relative to the elements, uncorrected in eV per formula unit: 0.9

---

Number 1 is which compound?
DyAlZnPt

---

Copy entry 4 word for word.
DFT (PBE) results for a relaxed structure of MoBr.

abc: 4.579 4.579 7.274
angles: 98.44 98.44 44.01
Sites, in units of the cell vectors:
Mo 0.156 0.156 0.457
Mo 0.844 0.844 0.543
Br 0.401 0.401 0.233
Br 0.599 0.599 0.767

Calculated values
Total magnetic moment in μB per cell: 0.00
D(E_F) in states/eV/atom: 0.124
Energy relative to the elements, uncorrected in eV per formula unit: 0.8

---

Which value of total magnetic moment does entry 1 give?
0.00 μB per cell